Record 1
The following is a GGA-PBE calculation of a relaxed structure of KMgRu, from the Alexandria database.

Lattice parameters (Å, degrees): 6.6018 6.6018 6.6018 155.71 141.31 46.21
Atoms (fractional coordinates):
K (0.0000, 0.0000, 0.0000)
Mg (0.7261, 0.7261, 0.0000)
Ru (0.2901, 0.2901, 0.0000)

Output
**ΔE_f**: 614 meV per atom
**Energy relative to the lowest polymorph listed for this composition**: 0.000 eV per atom
**Crystal system**: orthorhombic



Record 2
The following is a GGA-PBE calculation of a relaxed structure of Tm8Te4As3H, from the Alexandria database.

Lattice parameters (Å, degrees): 8.3976 8.3976 8.3976 58.24 58.24 58.24
Atoms (fractional coordinates):
Tm (0.2382, 0.2382, 0.2382)
Tm (0.2448, 0.7346, 0.7346)
Tm (0.2654, 0.2654, 0.7552)
Tm (0.2654, 0.7552, 0.2654)
Tm (0.7346, 0.2448, 0.7346)
Tm (0.7346, 0.7346, 0.2448)
Tm (0.7552, 0.2654, 0.2654)
Tm (0.7618, 0.7618, 0.7618)
Te (0.0000, 0.0000, 0.0000)
Te (0.0000, 0.5000, 0.5000)
Te (0.5000, 0.0000, 0.5000)
Te (0.5000, 0.5000, 0.0000)
As (0.0000, 0.0000, 0.5000)
As (0.0000, 0.5000, 0.0000)
As (0.5000, 0.0000, 0.0000)
H (0.5000, 0.5000, 0.5000)

Output
**Crystal system**: trigonal
**Energy**: -5.2883 eV per atom



Record 3
The following is a GGA-PBE calculation of a relaxed structure of La2PmCd, from the Alexandria database.

Lattice parameters (Å, degrees): 3.8050 3.8050 9.1898 90.00 90.00 90.00
Atoms (fractional coordinates):
La (0.0000, 0.0000, 0.2258)
La (0.0000, 0.0000, 0.7742)
Pm (0.5000, 0.5000, 0.5000)
Cd (0.5000, 0.5000, 0.0000)

Output
**ΔE_f**: -149 meV per atom
**Energy relative to the lowest polymorph listed for this composition**: 0.000 eV per atom
**Crystal system**: tetragonal



Record 4
The following is a GGA-PBE calculation of a relaxed structure of Si2RhBr, from the Alexandria database.

Lattice parameters (Å, degrees): 4.5612 4.5612 4.5612 120.20 120.20 89.65
Atoms (fractional coordinates):
Si (0.0000, 0.0000, 0.0000)
Si (0.7500, 0.2500, 0.5000)
Rh (0.5000, 0.5000, 0.0000)
Br (0.2500, 0.7500, 0.5000)

Output
**Uncorrected formation energy**: 602 meV per atom
**Energy relative to the lowest polymorph listed for this composition**: 0.643 eV per atom
**Crystal system**: tetragonal



Calculated density: 3.70, 8.63, 6.68, 5.93 (g/cm³)